# NaSiNi2O4, optimized geometry, DFT GGA+U
# M_tot = 6.00 μB per cell
# Total DFT energy (no corrections) = -5.63 eV/atom
data_NaSiNi2O4
_cell_length_a 5.327
_cell_length_b 5.412
_cell_length_c 6.071
_cell_angle_alpha 90.00
_cell_angle_beta 90.00
_cell_angle_gamma 90.00
_space_group_name_H-M_alt 'I 2 2 2'
_space_group_IT_number 23
loop_
_space_group_symop_operation_xyz
'x,y,z'
'-x,-y,z'
'x,-y,-z'
'-x,y,-z'
'x+1/2,y+1/2,z+1/2'
'-x+1/2,-y+1/2,z+1/2'
'x+1/2,-y+1/2,-z+1/2'
'-x+1/2,y+1/2,-z+1/2'
loop_
_atom_site_label
_atom_site_type_symbol
_atom_site_fract_x
_atom_site_fract_y
_atom_site_fract_z
_atom_site_occupancy
Na1 Na 0.000 0.000 0.000 1
Si1 Si 0.000 0.000 0.500 1
Ni1 Ni 0.000 0.500 0.283 1
O1 O 0.180 0.175 0.660 1